1.
LiBeSe | meta-GGA SCAN | PBEsol geometry

a = 3.7499 Å, b = 3.7499 Å, c = 3.8088 Å
α = 90.00°, β = 90.00°, γ = 120.00°
Last column: nearest neighbours and their distance in Å.
Sites, in units of the cell vectors:
Li1 0.0000 0.0000 0.0000  6 Se 2.88, 6 Be 2.88
Be1 0.6667 0.3333 0.5000  3 Se 2.17
Se1 0.3333 0.6667 0.5000  3 Be 2.17

energy above the most stable polymorph in this dataset	0.0000	eV/atom
ΔE_f (raw)	-1.212	eV/f.u.
space group	P-6m2

2.
Ba2HfP | meta-GGA SCAN | PBEsol geometry

a = 8.4256 Å, b = 8.4256 Å, c = 8.4256 Å
α = 94.93°, β = 94.93°, γ = 145.92°
Last column: nearest neighbours and their distance in Å.
Sites, in units of the cell vectors:
Ba1 0.3750 0.0205 0.1455  2 P 3.15
Ba2 0.7705 0.6250 0.6455  2 P 3.15
Ba3 0.8750 0.2295 0.8545  2 P 3.15
Ba4 0.9795 0.1250 0.3545  2 P 3.15
Hf1 0.2500 0.7500 0.5000  2 P 2.47
Hf2 0.5000 0.5000 0.0000  2 P 2.47
P1 0.0000 0.0000 0.0000  2 Hf 2.47
P2 0.7500 0.2500 0.5000  2 Hf 2.47

space group	I-42d

3.
ScZnCr2 | meta-GGA SCAN | PBEsol geometry

a = 5.1259 Å, b = 5.1259 Å, c = 2.5203 Å
α = 100.18°, β = 100.18°, γ = 118.47°
Last column: nearest neighbours and their distance in Å.
Sites, in units of the cell vectors:
Sc1 0.0000 0.0000 0.0000  2 Sc 2.52, 2 Zn 2.62, 4 Cr 2.65
Zn1 0.5000 0.5000 0.0000  2 Zn 2.52, 2 Sc 2.62, 4 Cr 2.65
Cr1 0.0000 0.5000 0.5000  4 Cr 2.52-2.62, 2 Sc 2.65, 2 Zn 2.65
Cr2 0.5000 0.0000 0.5000  4 Cr 2.52-2.62, 2 Sc 2.65, 2 Zn 2.65

space group	C2/m

4.
Mn5As | meta-GGA SCAN | PBEsol geometry

a = 5.4224 Å, b = 5.4224 Å, c = 3.6158 Å
α = 90.00°, β = 90.00°, γ = 140.96°
Last column: nearest neighbours and their distance in Å.
Sites, in units of the cell vectors:
Mn1 0.0000 0.0000 0.0000  8 Mn 2.54, 4 As 2.56
Mn2 0.1746 0.8254 0.5000  10 Mn 2.38-2.56, 2 As 2.54
Mn3 0.3259 0.6741 0.0000  10 Mn 2.38-2.56, 2 As 2.54
Mn4 0.6741 0.3259 0.0000  10 Mn 2.38-2.56, 2 As 2.54
Mn5 0.8254 0.1746 0.5000  10 Mn 2.38-2.56, 2 As 2.54
As1 0.5000 0.5000 0.5000  12 Mn 2.54-2.56

space group	Cmmm

5.
Sr2HgAs | meta-GGA SCAN | PBEsol geometry

a = 3.9026 Å, b = 3.9026 Å, c = 7.3856 Å
α = 90.00°, β = 90.00°, γ = 90.00°
Last column: nearest neighbours and their distance in Å.
Sites, in units of the cell vectors:
Sr1 0.0000 0.0000 0.2234  4 As 3.22, 1 Sr 3.30, 4 Hg 3.43
Sr2 0.0000 0.0000 0.7766  4 As 3.22, 1 Sr 3.30, 4 Hg 3.43
Hg1 0.5000 0.5000 0.5000  8 Sr 3.43, 2 As 3.69
As1 0.5000 0.5000 0.0000  8 Sr 3.22

energy above the most stable polymorph in this dataset	0.0654	eV/atom
space group	P4/mmm

6.
CaCr2Mo | meta-GGA SCAN | PBEsol geometry

a = 4.4947 Å, b = 4.4947 Å, c = 4.4947 Å
α = 60.00°, β = 60.00°, γ = 60.00°
Last column: nearest neighbours and their distance in Å.
Sites, in units of the cell vectors:
Ca1 0.0000 0.0000 0.0000  8 Cr 2.75
Cr1 0.2500 0.2500 0.2500  4 Mo 2.75, 4 Ca 2.75
Cr2 0.7500 0.7500 0.7500  4 Mo 2.75, 4 Ca 2.75
Mo1 0.5000 0.5000 0.5000  8 Cr 2.75

energy above the most stable polymorph in this dataset	0.0000	eV/atom
space group	Fm-3m

| no. | M_tot (μB/cell) | VASP energy (eV/atom) |
| --- | --- | --- |
| 1 | 0.030 | -9.345 |
| 2 | 1.383 | -38.180 |
| 3 | 0.001 | -15.724 |
| 4 | 3.232 | -18.759 |
| 5 | 0.031 | -34.163 |
| 6 | 3.919 | -19.707 |